4
Lattice="-0.5535 3.3823 3.9166 -3.7363 -0.7192 3.5509 1.2560 -1.4072 4.8506" Properties=species:S:1:pos:R:3 comment="SrPrRhAu, relaxed, DFT PBE" relative_energy_ev_per_atom=0.069 spacegroup=F-43m m_tot_mub_per_cell=0.00 delta_e_f_mev_per_atom=-545 dos_at_fermi_per_ev_fu=1.398 crystal_system=cubic pbc="T T T"
Sr -0.7584 0.3140 3.0795
Au 0.0000 0.0000 0.0000
Rh -1.5169 0.6280 6.1590
Pr -2.2753 0.9419 9.2385